[1]
First-principles (PBE) data for a geometry-optimized AgC structure, as listed in the Alexandria database.

Summary:
**E_form**: 0.795 eV per atom
**Spin magnetization**: 0.00 μB per formula unit
**D(E_F)**: 1.0 states/eV per cell

Unit cell a=3.155 b=2.641 c=7.533 alpha=90.00 beta=101.85 gamma=90.00
Space group P2_1/m (No. 11)
Inequivalent atoms, fractional coordinates:
Ag1 0.183 0.250 0.363 (multiplicity 2)
C1 0.001 0.250 0.001 (multiplicity 2)

[2]
First-principles (PBE) data for a geometry-optimized AgC structure, as listed in the Alexandria database.

Summary:
**E_form**: 1.091 eV per atom
**Spin magnetization**: 0.00 μB per formula unit
**D(E_F)**: 2.5 states/eV per cell

Unit cell a=4.304 b=11.034 c=6.123 alpha=90.00 beta=90.00 gamma=90.00
Space group Amm2 (No. 38)
Inequivalent atoms, fractional coordinates:
Ag1 0.000 0.000 0.000 (multiplicity 2)
Ag2 0.500 0.249 0.814 (multiplicity 4)
C1 0.500 0.000 0.068 (multiplicity 2)
C2 0.500 0.121 0.065 (multiplicity 4)

> Look up the E_form of the second one.

1.091 eV per atom

> What is the spin magnetization in the second record?

0.00 μB per formula unit

> Which value of spin magnetization does entry 1 give?

0.00 μB per formula unit